[1]
## TcAuCl2 (PBE)

Data for a relaxed TcAuCl2 crystal.

Lattice parameters (Å, degrees): 2.970 4.723 7.370 71.59 90.00 90.00
Atoms (fractional coordinates):
Cl1 0.000 0.103 0.923
Cl2 0.500 0.394 0.331
Au1 0.500 0.740 0.646
Tc1 0.000 0.262 0.600

Results
**Formation energy (no corrections)**: -30 meV per atom
**Volume**: 98.1 Å³ per cell
**E**: -17.46 eV per cell
**Total moment**: 0.355 μB/atom
**Space group**: No. 6

***

[2]
## TcAuCl (PBE)

Data for a relaxed TcAuCl crystal.

Lattice parameters (Å, degrees): 4.521 4.521 2.830 90.00 90.00 120.00
Atoms (fractional coordinates):
Cl1 0.333 0.667 0.500
Tc1 0.667 0.333 0.500
Au1 0.000 0.000 0.000

Results
**Formation energy (no corrections)**: 748 meV per atom
**Volume**: 50.1 Å³ per cell
**E**: -13.25 eV per cell
**Total moment**: 0.002 μB/atom
**Space group**: No. 187

***

[3]
## Tc2AuCl2 (PBE)

Data for a relaxed Tc2AuCl2 crystal.

Lattice parameters (Å, degrees): 4.158 4.158 5.867 69.25 69.25 90.00
Atoms (fractional coordinates):
Cl1 0.638 0.638 0.725
Tc1 0.250 0.750 0.500
Tc2 0.750 0.250 0.500
Au1 0.000 0.000 0.000
Cl2 0.362 0.362 0.275

Results
**Formation energy (no corrections)**: 693 meV per atom
**Volume**: 87.8 Å³ per cell
**E**: -24.24 eV per cell
**Total moment**: 0.000 μB/atom
**Space group**: No. 139

***

[4]
## TcAuCl2 (PBE)

Data for a relaxed TcAuCl2 crystal.

Lattice parameters (Å, degrees): 3.087 3.087 10.977 90.00 90.00 124.15
Atoms (fractional coordinates):
Cl1 0.000 0.000 0.422
Cl2 0.000 0.000 0.078
Tc1 0.500 0.500 0.250
Au1 0.500 0.500 0.750

Results
**Formation energy (no corrections)**: 148 meV per atom
**Volume**: 86.6 Å³ per cell
**E**: -16.74 eV per cell
**Total moment**: 0.000 μB/atom
**Space group**: No. 65

***

[5]
## TcAu2Cl (PBE)

Data for a relaxed TcAu2Cl crystal.

Lattice parameters (Å, degrees): 2.989 2.989 8.015 90.00 90.00 90.00
Atoms (fractional coordinates):
Cl1 0.500 0.500 0.250
Au1 0.000 0.000 0.981
Au2 0.000 0.000 0.519
Tc1 0.500 0.500 0.750

Results
**Formation energy (no corrections)**: 449 meV per atom
**Volume**: 71.6 Å³ per cell
**E**: -16.97 eV per cell
**Total moment**: 0.229 μB/atom
**Space group**: No. 123

***

[6]
## TcAuCl2 (PBE)

Data for a relaxed TcAuCl2 crystal.

Lattice parameters (Å, degrees): 3.148 5.888 4.279 90.00 90.00 90.00
Atoms (fractional coordinates):
Cl1 0.000 0.000 0.000
Tc1 0.500 0.000 0.500
Cl2 0.500 0.500 0.000
Au1 0.000 0.500 0.500

Results
**Formation energy (no corrections)**: 567 meV per atom
**Volume**: 79.3 Å³ per cell
**E**: -15.07 eV per cell
**Total moment**: 0.886 μB/atom
**Space group**: No. 47

***

Among the records above, which one has the highest E? TcAuCl